This record from Alexandria describes a relaxed structure of LaNi3C4O12. The functional is GGA+U.

Cell lengths 6.188, 6.188, 6.188 Å; angles 102.73, 102.73, 102.73 degrees
Fractional coordinates of all 20 atoms:
La (0.000, 0.000, 0.000)
Ni (0.000, 0.545, 0.455)
Ni (0.455, 0.000, 0.545)
Ni (0.545, 0.455, 0.000)
C (0.048, 0.500, 0.952)
C (0.500, 0.500, 0.500)
C (0.500, 0.952, 0.048)
C (0.952, 0.048, 0.500)
O (0.035, 0.624, 0.808)
O (0.087, 0.913, 0.500)
O (0.192, 0.376, 0.965)
O (0.365, 0.635, 0.500)
O (0.376, 0.965, 0.192)
O (0.500, 0.087, 0.913)
O (0.500, 0.365, 0.635)
O (0.624, 0.808, 0.035)
O (0.635, 0.500, 0.365)
O (0.808, 0.035, 0.624)
O (0.913, 0.500, 0.087)
O (0.965, 0.192, 0.376)

Properties
The final energy comes out at -139.10 eV for the cell shown. The calculation puts the total magnetization at 0.250 μB/atom. Its space group is R32, No. 155. The density comes out at 4.262 g cm⁻³.